CsSrCuF6: optimized geometry, PBE-GGA.

Values from the calculation:
Total magnetic moment ... 2.5 μB/cell
Theoretical density ... 4.1 g/cm3
Crystal system ... orthorhombic
D(E_F) ... 3.507 states/eV/f.u.
Total energy ... -4.575 eV/atom

Cell lengths 7.5948, 7.5948, 7.5948 Å; angles 117.85, 115.61, 95.77 degrees
Element x y z (fractional)
Cs  0.3468  0.0968  0.2500
Cs  0.6532  0.9032  0.7500
Sr  0.0000  0.5000  0.5000
Sr  0.5000  0.5000  0.0000
Cu  0.0000  0.0000  0.5000
Cu  0.0000  0.5000  0.0000
F  0.0357  0.3469  0.1420
F  0.0357  0.8937  0.6888
F  0.0521  0.3021  0.7500
F  0.2951  0.1063  0.6420
F  0.2951  0.6531  0.1888
F  0.3695  0.6195  0.7500
F  0.6305  0.3805  0.2500
F  0.7049  0.3469  0.8112
F  0.7049  0.8937  0.3580
F  0.9479  0.6979  0.2500
F  0.9643  0.1063  0.3112
F  0.9643  0.6531  0.8580